Record 1
TlCd3Pb | PBE-GGA | optimized geometry

Properties
Calculated total energy, eV per formula unit: -8.62
Magnetic moment, μB per formula unit: 0.000
Energy relative to the lowest polymorph listed for this composition, meV per atom: 0
Calculated volume, Å³ per cell: 270.5
ΔE_f, meV/atom: 40
Fermi-level density of states, states/eV/atom: 0.313

a b c (Å): 3.2699 7.3266 11.3843
angles (deg): 90.00 97.28 90.00
Last column: nearest neighbours and their distance in Å.
Atoms (fractional coordinates):
Tl  0.1919  0.2500  0.3929  2 Tl 3.27, 4 Cd 3.36-3.40, 2 Pb 3.48-3.57
Tl  0.8081  0.7500  0.6071  2 Tl 3.27, 4 Cd 3.36-3.40, 2 Pb 3.48-3.57
Cd  0.0146  0.7500  0.0292  10 Cd 3.12-3.27, 1 Pb 3.40
Cd  0.4198  0.5443  0.8324  7 Cd 3.01-3.27, 2 Pb 3.27-3.28, 1 Tl 3.36
Cd  0.4198  0.9557  0.8324  7 Cd 3.01-3.27, 2 Pb 3.27-3.28, 1 Tl 3.36
Cd  0.5802  0.0443  0.1676  7 Cd 3.01-3.27, 2 Pb 3.27-3.28, 1 Tl 3.36
Cd  0.5802  0.4557  0.1676  7 Cd 3.01-3.27, 2 Pb 3.27-3.28, 1 Tl 3.36
Cd  0.9854  0.2500  0.9708  10 Cd 3.12-3.27, 1 Pb 3.40
Pb  0.1553  0.7500  0.3304  5 Cd 3.27-3.40, 2 Pb 3.27, 2 Tl 3.48-3.57
Pb  0.8447  0.2500  0.6696  5 Cd 3.27-3.40, 2 Pb 3.27, 2 Tl 3.48-3.57

---

Record 2
TlCd2Pb | PBE-GGA | optimized geometry

Properties
Calculated total energy, eV per formula unit: -7.78
Magnetic moment, μB per formula unit: 0.000
Calculated volume, Å³ per cell: 108.4
ΔE_f, meV/atom: 31
Fermi-level density of states, states/eV/atom: 0.508

a b c (Å): 3.4276 3.4276 9.2234
angles (deg): 90.00 90.00 90.00
Last column: nearest neighbours and their distance in Å.
Atoms (fractional coordinates):
Tl  0.0000  0.0000  0.0000  4 Cd 3.34, 4 Tl 3.43, 4 Pb 3.64
Cd  0.0000  0.0000  0.4576  8 Cd 3.09-3.43, 4 Pb 3.33
Cd  0.5000  0.5000  0.2495  8 Cd 3.09-3.43, 4 Tl 3.34
Pb  0.5000  0.5000  0.7049  4 Cd 3.33, 4 Pb 3.43, 4 Tl 3.64

---

Record 3
Tl3Cd8Pb | PBE-GGA | optimized geometry

Properties
Calculated total energy, eV per formula unit: -17.87
Magnetic moment, μB per formula unit: 0.000
Calculated volume, Å³ per cell: 314.5
ΔE_f, meV/atom: 22
Fermi-level density of states, states/eV/atom: 0.407

a b c (Å): 10.4788 10.4788 10.4788
angles (deg): 33.64 33.64 33.64
Last column: nearest neighbours and their distance in Å.
Atoms (fractional coordinates):
Tl  0.0000  0.0000  0.0000  12 Cd 3.55-3.56, 4 Tl 3.68-3.71
Tl  0.1242  0.1242  0.1242  12 Cd 3.54-3.57, 1 Tl 3.68, 3 Pb 3.72
Tl  0.6255  0.6255  0.6255  12 Cd 3.53-3.56, 3 Tl 3.71, 1 Pb 3.72
Cd  0.0624  0.0624  0.5626  6 Cd 3.02-3.03
Cd  0.0622  0.5623  0.5623  6 Cd 3.03
Cd  0.0624  0.5626  0.0624  6 Cd 3.02-3.03
Cd  0.3123  0.3123  0.3123  6 Cd 3.02-3.03
Cd  0.5623  0.0622  0.5623  6 Cd 3.03
Cd  0.5623  0.5623  0.0622  6 Cd 3.03
Cd  0.5626  0.0624  0.0624  6 Cd 3.02-3.03
Cd  0.8123  0.8123  0.8123  6 Cd 3.03
Pb  0.5001  0.5001  0.5001  12 Cd 3.55-3.56, 4 Tl 3.72

---

Record 4
Tl2Cd4Pb5 | PBE-GGA | optimized geometry

Properties
Calculated total energy, eV per formula unit: -25.86
Magnetic moment, μB per formula unit: 0.000
Energy relative to the lowest polymorph listed for this composition, meV per atom: 17
Calculated volume, Å³ per cell: 331.8
ΔE_f, meV/atom: 98
Fermi-level density of states, states/eV/atom: 0.451

a b c (Å): 11.7499 11.7499 8.6238
angles (deg): 90.53 90.53 16.18
Last column: nearest neighbours and their distance in Å.
Atoms (fractional coordinates):
Tl  0.2320  0.2320  0.3332  1 Cd 3.05, 2 Tl 3.31, 1 Pb 3.37
Tl  0.7680  0.7680  0.6668  1 Cd 3.05, 2 Tl 3.31, 1 Pb 3.37
Cd  0.1058  0.1058  0.2355  1 Tl 3.05, 4 Cd 3.05-3.31, 5 Pb 3.18-3.39
Cd  0.4983  0.4983  0.6709  3 Cd 2.95-3.05, 3 Pb 3.05-3.28
Cd  0.5017  0.5017  0.3291  3 Cd 2.95-3.05, 3 Pb 3.05-3.28
Cd  0.8942  0.8942  0.7645  1 Tl 3.05, 4 Cd 3.05-3.31, 5 Pb 3.18-3.39
Pb  0.0000  0.0000  0.0000  6 Cd 3.18-3.28, 2 Pb 3.31
Pb  0.3205  0.3205  0.0265  2 Cd 3.29, 3 Pb 3.31-3.65, 1 Tl 3.37
Pb  0.3758  0.3758  0.4243  3 Cd 3.05-3.39, 2 Pb 3.31
Pb  0.6242  0.6242  0.5757  3 Cd 3.05-3.39, 2 Pb 3.31
Pb  0.6795  0.6795  0.9735  2 Cd 3.29, 3 Pb 3.31-3.65, 1 Tl 3.37

---

Record 5
TlCd2Pb7 | PBE-GGA | optimized geometry

Properties
Calculated total energy, eV per formula unit: -29.39
Magnetic moment, μB per formula unit: 0.000
Calculated volume, Å³ per cell: 317.8
ΔE_f, meV/atom: 76
Fermi-level density of states, states/eV/atom: 0.728

a b c (Å): 13.4284 13.4284 13.4284
angles (deg): 158.75 158.75 30.23
Last column: nearest neighbours and their distance in Å.
Atoms (fractional coordinates):
Tl  0.0000  0.0000  0.0000  12 Pb 3.50-3.58
Cd  0.3228  0.3228  0.0000  8 Pb 3.11-3.19
Cd  0.6772  0.6772  0.0000  8 Pb 3.11-3.19
Pb  0.1000  0.6000  0.5000  2 Cd 3.19, 4 Pb 3.50
Pb  0.2500  0.7500  0.5000  4 Cd 3.11
Pb  0.4000  0.9000  0.5000  2 Cd 3.19, 4 Pb 3.50
Pb  0.5000  0.5000  0.0000  4 Tl 3.50, 8 Pb 3.58
Pb  0.6000  0.1000  0.5000  2 Cd 3.19, 4 Pb 3.50
Pb  0.7500  0.2500  0.5000  4 Cd 3.11
Pb  0.9000  0.4000  0.5000  2 Cd 3.19, 4 Pb 3.50

---

Record 6
Tl2CdPb | PBE-GGA | optimized geometry

Properties
Calculated total energy, eV per formula unit: -9.21
Magnetic moment, μB per formula unit: 0.000
Calculated volume, Å³ per cell: 117.7
ΔE_f, meV/atom: 36
Fermi-level density of states, states/eV/atom: 0.418

a b c (Å): 3.3816 3.3816 11.0699
angles (deg): 90.00 90.00 111.60
Last column: nearest neighbours and their distance in Å.
Atoms (fractional coordinates):
Tl  0.0000  0.0000  0.0000  6 Tl 3.38-3.48, 2 Pb 3.48
Tl  0.5000  0.5000  0.2629  2 Cd 3.22, 6 Tl 3.38-3.48
Cd  0.0000  0.0000  0.4974  2 Tl 3.22, 2 Pb 3.26, 4 Cd 3.38
Pb  0.5000  0.5000  0.7368  2 Cd 3.26, 4 Pb 3.38, 2 Tl 3.48

---

Question: Which of these has the lowest ΔE_f?
Answer: Tl3Cd8Pb

---

What did the first record say?
TlCd3Pb | PBE-GGA | optimized geometry

Properties
Calculated total energy, eV per formula unit: -8.62
Magnetic moment, μB per formula unit: 0.000
Energy relative to the lowest polymorph listed for this composition, meV per atom: 0
Calculated volume, Å³ per cell: 270.5
ΔE_f, meV/atom: 40
Fermi-level density of states, states/eV/atom: 0.313

a b c (Å): 3.2699 7.3266 11.3843
angles (deg): 90.00 97.28 90.00
Last column: nearest neighbours and their distance in Å.
Atoms (fractional coordinates):
Tl  0.1919  0.2500  0.3929  2 Tl 3.27, 4 Cd 3.36-3.40, 2 Pb 3.48-3.57
Tl  0.8081  0.7500  0.6071  2 Tl 3.27, 4 Cd 3.36-3.40, 2 Pb 3.48-3.57
Cd  0.0146  0.7500  0.0292  10 Cd 3.12-3.27, 1 Pb 3.40
Cd  0.4198  0.5443  0.8324  7 Cd 3.01-3.27, 2 Pb 3.27-3.28, 1 Tl 3.36
Cd  0.4198  0.9557  0.8324  7 Cd 3.01-3.27, 2 Pb 3.27-3.28, 1 Tl 3.36
Cd  0.5802  0.0443  0.1676  7 Cd 3.01-3.27, 2 Pb 3.27-3.28, 1 Tl 3.36
Cd  0.5802  0.4557  0.1676  7 Cd 3.01-3.27, 2 Pb 3.27-3.28, 1 Tl 3.36
Cd  0.9854  0.2500  0.9708  10 Cd 3.12-3.27, 1 Pb 3.40
Pb  0.1553  0.7500  0.3304  5 Cd 3.27-3.40, 2 Pb 3.27, 2 Tl 3.48-3.57
Pb  0.8447  0.2500  0.6696  5 Cd 3.27-3.40, 2 Pb 3.27, 2 Tl 3.48-3.57